Entry 1:
# HfAs2HCl SCAN PBEsol geometry
# raw total energy	-22.752	eV/atom
# DOS at the Fermi energy	2.217	states/eV/cell
data_HfAs2HCl
_space_group_name_H-M_alt 'P 4/m m m'
_space_group_IT_number 123
_space_group_name_Hall '-P 4 2'
_cell_length_a 3.920
_cell_length_b 3.920
_cell_length_c 4.966
_cell_angle_alpha 90.00
_cell_angle_beta 90.00
_cell_angle_gamma 90.00
loop_
_atom_site_label
_atom_site_fract_x
_atom_site_fract_y
_atom_site_fract_z
Hf1 0.000 0.000 0.000
As1 0.000 0.500 0.500
H1 0.000 0.000 0.500
Cl1 0.500 0.500 0.000

Entry 2:
# YTl2Hg SCAN PBEsol geometry
# formation energy from the elements	-1.66	eV per formula unit
# raw total energy	-60.596	eV/atom
# DOS at the Fermi energy	1.708	states/eV/cell
data_YTl2Hg
_space_group_name_H-M_alt 'P 4/m m m'
_space_group_IT_number 123
_space_group_name_Hall '-P 4 2'
_cell_length_a 4.619
_cell_length_b 4.619
_cell_length_c 4.558
_cell_angle_alpha 90.00
_cell_angle_beta 90.00
_cell_angle_gamma 90.00
loop_
_atom_site_label
_atom_site_fract_x
_atom_site_fract_y
_atom_site_fract_z
Y1 0.000 0.000 0.000
Tl1 0.000 0.500 0.500
Hg1 0.500 0.500 0.000

Entry 3:
# Al2Ag SCAN PBEsol geometry
# formation energy from the elements	-0.02	eV per formula unit
# raw total energy	-15.630	eV/atom
# DOS at the Fermi energy	7.397	states/eV/cell
data_Al2Ag
_space_group_name_H-M_alt 'I 41/a m d'
_space_group_IT_number 141
_cell_length_a 4.012
_cell_length_b 4.012
_cell_length_c 24.369
_cell_angle_alpha 90.00
_cell_angle_beta 90.00
_cell_angle_gamma 90.00
loop_
_space_group_symop_operation_xyz
'x,y,z'
'-x,-y,-z'
'-y+1/4,x+3/4,z+1/4'
'y+1/4,-x+3/4,-z+1/4'
'-x+1/2,-y,z+1/2'
'x+1/2,y,-z+1/2'
'y+1/4,-x+1/4,z+3/4'
'-y+1/4,x+1/4,-z+3/4'
'x,-y,-z'
'-x,y,z'
'-y+1/4,-x+1/4,-z+3/4'
'y+1/4,x+1/4,z+3/4'
'-x+1/2,y,-z+1/2'
'x+1/2,-y,z+1/2'
'y+1/4,x+3/4,-z+1/4'
'-y+1/4,-x+3/4,z+1/4'
'x+1/2,y+1/2,z+1/2'
'-x+1/2,-y+1/2,-z+1/2'
'-y+3/4,x+1/4,z+3/4'
'y+3/4,-x+1/4,-z+3/4'
'-x,-y+1/2,z'
'x,y+1/2,-z'
'y+3/4,-x+3/4,z+1/4'
'-y+3/4,x+3/4,-z+1/4'
'x+1/2,-y+1/2,-z+1/2'
'-x+1/2,y+1/2,z+1/2'
'-y+3/4,-x+3/4,-z+1/4'
'y+3/4,x+3/4,z+1/4'
'-x,y+1/2,-z'
'x,-y+1/2,z'
'y+3/4,x+1/4,-z+3/4'
'-y+3/4,-x+1/4,z+3/4'
loop_
_atom_site_label
_atom_site_fract_x
_atom_site_fract_y
_atom_site_fract_z
Al1 0.000 0.250 0.124
Al2 0.000 0.250 0.791
Ag1 0.000 0.250 0.293

Entry 4:
# Tl3Re SCAN PBEsol geometry
# formation energy from the elements	4.93	eV per formula unit
# energy above the most stable polymorph in this dataset	53.7	kJ/mol of atoms
# raw total energy	-70.811	eV/atom
# DOS at the Fermi energy	10.375	states/eV/cell
data_Tl3Re
_space_group_name_H-M_alt 'F m -3 m'
_space_group_IT_number 225
_space_group_name_Hall '-F 4 2 3'
_cell_length_a 7.062
_cell_length_b 7.062
_cell_length_c 7.062
_cell_angle_alpha 90.00
_cell_angle_beta 90.00
_cell_angle_gamma 90.00
loop_
_atom_site_label
_atom_site_fract_x
_atom_site_fract_y
_atom_site_fract_z
Tl1 0.000 0.000 0.000
Tl2 0.250 0.250 0.250
Re1 0.000 0.000 0.500

Entry 5:
# Nb2CdCoO SCAN PBEsol geometry
# E_form (uncorrected)	825	kJ/mol of formula units
# raw total energy	-22.332	eV/atom
# DOS at the Fermi energy	4.655	states/eV/cell
data_Nb2CdCoO
_space_group_name_H-M_alt 'P 4/m m m'
_space_group_IT_number 123
_space_group_name_Hall '-P 4 2'
_cell_length_a 5.101
_cell_length_b 5.101
_cell_length_c 3.777
_cell_angle_alpha 90.00
_cell_angle_beta 90.00
_cell_angle_gamma 90.00
loop_
_atom_site_label
_atom_site_fract_x
_atom_site_fract_y
_atom_site_fract_z
Nb1 0.000 0.500 0.000
Cd1 0.000 0.000 0.000
Co1 0.500 0.500 0.500
O1 0.000 0.000 0.500

Entry 6:
# MgScBr2 SCAN PBEsol geometry
# E_form (uncorrected)	-196	kJ/mol of formula units
# energy above the most stable polymorph in this dataset	19.6	kJ/mol of atoms
# raw total energy	-15.040	eV/atom
# DOS at the Fermi energy	1.771	states/eV/cell
data_MgScBr2
_space_group_name_H-M_alt 'P 4/m m m'
_space_group_IT_number 123
_space_group_name_Hall '-P 4 2'
_cell_length_a 4.952
_cell_length_b 4.952
_cell_length_c 3.463
_cell_angle_alpha 90.00
_cell_angle_beta 90.00
_cell_angle_gamma 90.00
loop_
_atom_site_label
_atom_site_fract_x
_atom_site_fract_y
_atom_site_fract_z
Mg1 0.000 0.000 0.000
Sc1 0.500 0.500 0.000
Br1 0.000 0.500 0.500

Entry 7:
# CrAu3 SCAN PBEsol geometry
# formation energy from the elements	-0.55	eV per formula unit
# raw total energy	-56.601	eV/atom
# DOS at the Fermi energy	1.774	states/eV/cell
data_CrAu3
_space_group_name_H-M_alt 'P m -3 m'
_space_group_IT_number 221
_space_group_name_Hall '-P 4 2 3'
_cell_length_a 4.038
_cell_length_b 4.038
_cell_length_c 4.038
_cell_angle_alpha 90.00
_cell_angle_beta 90.00
_cell_angle_gamma 90.00
loop_
_atom_site_label
_atom_site_fract_x
_atom_site_fract_y
_atom_site_fract_z
Cr1 0.000 0.000 0.000
Au1 0.000 0.500 0.500

Entry 8:
# TaCuNF2 SCAN PBEsol geometry
# E_form (uncorrected)	-518	kJ/mol of formula units
# raw total energy	-20.704	eV/atom
# DOS at the Fermi energy	1.698	states/eV/cell
data_TaCuNF2
_space_group_name_H-M_alt 'P 4/m m m'
_space_group_IT_number 123
_space_group_name_Hall '-P 4 2'
_cell_length_a 4.034
_cell_length_b 4.034
_cell_length_c 4.002
_cell_angle_alpha 90.00
_cell_angle_beta 90.00
_cell_angle_gamma 90.00
loop_
_atom_site_label
_atom_site_fract_x
_atom_site_fract_y
_atom_site_fract_z
Ta1 0.000 0.000 0.000
Cu1 0.500 0.500 0.500
N1 0.000 0.000 0.500
F1 0.000 0.500 0.000

Entry 9:
# YAl3Cl12 SCAN PBEsol geometry
# E_form (uncorrected)	-2943	kJ/mol of formula units
# raw total energy	-11.083	eV/atom
# DOS at the Fermi energy	0.000	states/eV/cell
data_YAl3Cl12
_space_group_name_H-M_alt 'P 31 1 2'
_space_group_IT_number 151
_cell_length_a 10.5701
_cell_length_b 10.5701
_cell_length_c 15.8149
_cell_angle_alpha 90.00
_cell_angle_beta 90.00
_cell_angle_gamma 120.00
loop_
_space_group_symop_operation_xyz
'x,y,z'
'-y,x-y,z+1/3'
'-x+y,-x,z+2/3'
'-y,-x,-z+2/3'
'-x+y,y,-z+1/3'
'x,x-y,-z'
loop_
_atom_site_label
_atom_site_fract_x
_atom_site_fract_y
_atom_site_fract_z
Y1 0.0157 0.5079 0.0000
Al1 0.2719 0.5438 0.1667
Al2 0.3612 0.1298 0.2685
Cl1 0.1603 0.0078 0.2067
Cl2 0.1678 0.4967 0.8530
Cl3 0.2064 0.4128 0.0535
Cl4 0.3386 0.1128 0.6121
Cl5 0.4857 0.0286 0.2900
Cl6 0.4951 0.1520 0.7962

Entry 10:
# Bi2Rh3S2 SCAN PBEsol geometry
# E_form (uncorrected)	-259	kJ/mol of formula units
# raw total energy	-40.059	eV/atom
# DOS at the Fermi energy	16.362	states/eV/cell
data_Bi2Rh3S2
_space_group_name_H-M_alt 'C 1 2/m 1'
_space_group_IT_number 12
_cell_length_a 11.265
_cell_length_b 8.294
_cell_length_c 7.893
_cell_angle_alpha 90.00
_cell_angle_beta 133.43
_cell_angle_gamma 90.00
loop_
_space_group_symop_operation_xyz
'x,y,z'
'-x,-y,-z'
'-x,y,-z'
'x,-y,z'
'x+1/2,y+1/2,z'
'-x+1/2,-y+1/2,-z'
'-x+1/2,y+1/2,-z'
'x+1/2,-y+1/2,z'
loop_
_atom_site_label
_atom_site_fract_x
_atom_site_fract_y
_atom_site_fract_z
Bi1 0.001 0.000 0.252
Bi2 0.006 0.500 0.248
Rh1 0.000 0.253 0.500
Rh2 0.244 0.500 0.745
Rh3 0.250 0.250 0.500
S1 0.224 0.271 0.188

Entry 11:
# La4AgTe SCAN PBEsol geometry
# E_form (uncorrected)	15	kJ/mol of formula units
# raw total energy	-40.147	eV/atom
# DOS at the Fermi energy	30.961	states/eV/cell
data_La4AgTe
_space_group_name_H-M_alt 'F -4 3 m'
_space_group_IT_number 216
_space_group_name_Hall 'F -4 2 3'
_cell_length_a 8.893
_cell_length_b 8.893
_cell_length_c 8.893
_cell_angle_alpha 90.00
_cell_angle_beta 90.00
_cell_angle_gamma 90.00
loop_
_atom_site_label
_atom_site_fract_x
_atom_site_fract_y
_atom_site_fract_z
La1 0.124 0.124 0.124
Ag1 0.000 0.000 0.500
Te1 0.250 0.250 0.750

Entry 12:
# CsSb2TeF SCAN PBEsol geometry
# E_form (uncorrected)	-129	kJ/mol of formula units
# raw total energy	-30.891	eV/atom
# DOS at the Fermi energy	3.799	states/eV/cell
data_CsSb2TeF
_space_group_name_H-M_alt 'P 4/m m m'
_space_group_IT_number 123
_space_group_name_Hall '-P 4 2'
_cell_length_a 4.984
_cell_length_b 4.984
_cell_length_c 5.584
_cell_angle_alpha 90.00
_cell_angle_beta 90.00
_cell_angle_gamma 90.00
loop_
_atom_site_label
_atom_site_fract_x
_atom_site_fract_y
_atom_site_fract_z
Cs1 0.000 0.000 0.000
Sb1 0.000 0.500 0.500
Te1 0.500 0.500 0.000
F1 0.500 0.500 0.500

Entry 13:
# FeRu2Se SCAN PBEsol geometry
# E_form (uncorrected)	176	kJ/mol of formula units
# raw total energy	-26.508	eV/atom
# DOS at the Fermi energy	6.216	states/eV/cell
data_FeRu2Se
_space_group_name_H-M_alt 'I -4 m 2'
_space_group_IT_number 119
_space_group_name_Hall 'I -4 -2'
_cell_length_a 3.736
_cell_length_b 3.736
_cell_length_c 7.504
_cell_angle_alpha 90.00
_cell_angle_beta 90.00
_cell_angle_gamma 90.00
loop_
_atom_site_label
_atom_site_fract_x
_atom_site_fract_y
_atom_site_fract_z
Fe1 0.000 0.000 0.000
Ru1 0.000 0.000 0.500
Ru2 0.000 0.500 0.250
Se1 0.000 0.500 0.750

Entry 14:
# BaLiO2F SCAN PBEsol geometry
# E_form (uncorrected)	-634	kJ/mol of formula units
# raw total energy	-12.903	eV/atom
# DOS at the Fermi energy	0.837	states/eV/cell
data_BaLiO2F
_space_group_name_H-M_alt 'P 4/m m m'
_space_group_IT_number 123
_space_group_name_Hall '-P 4 2'
_cell_length_a 4.585
_cell_length_b 4.585
_cell_length_c 5.020
_cell_angle_alpha 90.00
_cell_angle_beta 90.00
_cell_angle_gamma 90.00
loop_
_atom_site_label
_atom_site_fract_x
_atom_site_fract_y
_atom_site_fract_z
Ba1 0.000 0.000 0.000
Li1 0.500 0.500 0.500
O1 0.000 0.500 0.000
F1 0.000 0.000 0.500

Entry 15:
# Li8Mn15NiO32 SCAN PBEsol geometry
# E_form (uncorrected)	-12058	kJ/mol of formula units
# raw total energy	-11.312	eV/atom
# DOS at the Fermi energy	29.342	states/eV/cell
data_Li8Mn15NiO32
_space_group_name_H-M_alt 'R -3 m'
_space_group_IT_number 166
_space_group_name_Hall '-R 3 2"'
_cell_length_a 11.3766
_cell_length_b 11.3766
_cell_length_c 14.0370
_cell_angle_alpha 90.00
_cell_angle_beta 90.00
_cell_angle_gamma 120.00
loop_
_atom_site_label
_atom_site_fract_x
_atom_site_fract_y
_atom_site_fract_z
Li1 0.0000 0.0000 0.1241
Li2 0.0022 0.5011 0.1247
Mn1 0.0000 0.2503 0.0000
Mn2 0.0000 0.5000 0.5000
Mn3 0.0829 0.1658 0.6678
Ni1 0.0000 0.0000 0.5000
O1 0.0000 0.0000 0.2603
O2 0.0014 0.5007 0.2635
O3 0.0173 0.2594 0.7466
O4 0.0772 0.1545 0.4049
O5 0.0919 0.1838 0.9211

Entry 16:
# AlBrCl2 SCAN PBEsol geometry
# E_form (uncorrected)	-256	kJ/mol of formula units
# energy above the most stable polymorph in this dataset	75.3	kJ/mol of atoms
# raw total energy	-11.455	eV/atom
# DOS at the Fermi energy	4.570	states/eV/cell
data_AlBrCl2
_space_group_name_H-M_alt 'R -3 m'
_space_group_IT_number 166
_space_group_name_Hall '-R 3 2"'
_cell_length_a 3.5762
_cell_length_b 3.5762
_cell_length_c 22.4771
_cell_angle_alpha 90.00
_cell_angle_beta 90.00
_cell_angle_gamma 120.00
loop_
_atom_site_label
_atom_site_fract_x
_atom_site_fract_y
_atom_site_fract_z
Al1 0.0000 0.0000 0.0000
Br1 0.0000 0.0000 0.5000
Cl1 0.0000 0.0000 0.2756

Entry 17:
# Sm2Al2Fe15 SCAN PBEsol geometry
# formation energy from the elements	-0.23	eV per formula unit
# raw total energy	-19.819	eV/atom
# DOS at the Fermi energy	50.980	states/eV/cell
data_Sm2Al2Fe15
_space_group_name_H-M_alt 'R -3 m'
_space_group_IT_number 166
_space_group_name_Hall '-R 3 2"'
_cell_length_a 8.2494
_cell_length_b 8.2494
_cell_length_c 12.2925
_cell_angle_alpha 90.00
_cell_angle_beta 90.00
_cell_angle_gamma 120.00
loop_
_atom_site_label
_atom_site_fract_x
_atom_site_fract_y
_atom_site_fract_z
Sm1 0.0000 0.0000 0.1531
Al1 0.0000 0.0000 0.3981
Fe1 0.0000 0.2917 0.5000
Fe2 0.0000 0.5000 0.0000
Fe3 0.0006 0.5003 0.3399

Entry 18:
# SrTl2FeAg SCAN PBEsol geometry
# formation energy from the elements	6.72	eV per formula unit
# raw total energy	-41.954	eV/atom
# DOS at the Fermi energy	6.832	states/eV/cell
data_SrTl2FeAg
_space_group_name_H-M_alt 'P 4/m m m'
_space_group_IT_number 123
_space_group_name_Hall '-P 4 2'
_cell_length_a 5.966
_cell_length_b 5.966
_cell_length_c 5.385
_cell_angle_alpha 90.00
_cell_angle_beta 90.00
_cell_angle_gamma 90.00
loop_
_atom_site_label
_atom_site_fract_x
_atom_site_fract_y
_atom_site_fract_z
Sr1 0.000 0.000 0.000
Tl1 0.000 0.500 0.000
Fe1 0.500 0.500 0.500
Ag1 0.000 0.000 0.500

Entry 19:
# ZrCdMo2 SCAN PBEsol geometry
# formation energy from the elements	1.29	eV per formula unit
# raw total energy	-32.398	eV/atom
# DOS at the Fermi energy	8.310	states/eV/cell
data_ZrCdMo2
_space_group_name_H-M_alt 'I m m m'
_space_group_IT_number 71
_space_group_name_Hall '-I 2 2'
_cell_length_a 3.441
_cell_length_b 4.481
_cell_length_c 9.154
_cell_angle_alpha 90.00
_cell_angle_beta 90.00
_cell_angle_gamma 90.00
loop_
_atom_site_label
_atom_site_fract_x
_atom_site_fract_y
_atom_site_fract_z
Zr1 0.000 0.000 0.000
Cd1 0.000 0.000 0.500
Mo1 0.000 0.500 0.256

Entry 20:
# YMoIO2 SCAN PBEsol geometry
# E_form (uncorrected)	-446	kJ/mol of formula units
# raw total energy	-23.310	eV/atom
# DOS at the Fermi energy	2.899	states/eV/cell
data_YMoIO2
_space_group_name_H-M_alt 'P 4/m m m'
_space_group_IT_number 123
_space_group_name_Hall '-P 4 2'
_cell_length_a 4.001
_cell_length_b 4.001
_cell_length_c 5.576
_cell_angle_alpha 90.00
_cell_angle_beta 90.00
_cell_angle_gamma 90.00
loop_
_atom_site_label
_atom_site_fract_x
_atom_site_fract_y
_atom_site_fract_z
Y1 0.000 0.000 0.000
Mo1 0.500 0.500 0.500
I1 0.500 0.500 0.000
O1 0.000 0.500 0.500